# 1
A plane-wave DFT calculation with GGA-PBE was carried out for crystalline BaMg4Cd2Pd at its relaxed geometry.

Total magnetic moment ... 0.00 Bohr magnetons per cell
Energy of formation from the pure elements ... -2.1 eV per formula unit
Space-group type ... No. 166

The structure in POSCAR format:
```
BaMg4Cd2Pd
1.0
-1.275 3.858 -2.619
-4.182 2.254 0.895
2.876 8.106 6.081
Mg Pd Ba Cd
4 1 1 2
Direct
0.586 0.586 0.243
0.859 0.859 0.423
0.414 0.414 0.757
0.141 0.141 0.577
0.500 0.500 0.500
0.000 0.000 0.000
0.757 0.757 0.729
0.243 0.243 0.271
```

# 2
A plane-wave DFT calculation with GGA-PBE was carried out for crystalline Ba2PmMg12Cd3 at its relaxed geometry.

Total magnetic moment ... 0.00 Bohr magnetons per cell
Energy of formation from the pure elements ... 3.1 eV per formula unit
Space-group type ... No. 166

The structure in POSCAR format:
```
Ba2PmMg12Cd3
1.0
9.862 0.598 0.424
5.391 8.281 0.424
5.391 3.138 7.675
Mg Ba Cd Pm
12 2 3 1
Direct
0.171 0.544 0.171
0.870 0.217 0.217
0.217 0.870 0.217
0.783 0.130 0.783
0.456 0.829 0.829
0.544 0.171 0.171
0.217 0.217 0.870
0.130 0.783 0.783
0.171 0.171 0.544
0.829 0.456 0.829
0.783 0.783 0.130
0.829 0.829 0.456
0.584 0.584 0.584
0.416 0.416 0.416
0.500 0.000 0.000
0.000 0.500 0.000
0.000 0.000 0.500
0.000 0.000 0.000
```

# 3
A plane-wave DFT calculation with GGA-PBE was carried out for crystalline Ba2PrMg12Cd3 at its relaxed geometry.

Total magnetic moment ... 0.00 Bohr magnetons per cell
Energy of formation from the pure elements ... 3.1 eV per formula unit
Space-group type ... No. 166

The structure in POSCAR format:
```
Ba2PrMg12Cd3
1.0
-5.589 -8.011 -1.513
2.649 -8.155 -4.918
1.446 -8.977 3.877
Cd Pr Mg Ba
3 1 12 2
Direct
0.000 0.500 0.000
0.500 0.000 0.000
0.000 0.000 0.500
0.000 0.000 0.000
0.458 0.829 0.829
0.829 0.829 0.458
0.781 0.130 0.781
0.219 0.219 0.870
0.219 0.870 0.219
0.171 0.171 0.542
0.542 0.171 0.171
0.781 0.781 0.130
0.130 0.781 0.781
0.171 0.542 0.171
0.829 0.458 0.829
0.870 0.219 0.219
0.415 0.415 0.415
0.585 0.585 0.585
```

# 4
A plane-wave DFT calculation with GGA-PBE was carried out for crystalline BaMg2CdPt at its relaxed geometry.

Total magnetic moment ... 0.00 Bohr magnetons per cell
Energy of formation from the pure elements ... -2.1 eV per formula unit
Space-group type ... No. 123

The structure in POSCAR format:
```
BaMg2CdPt
1.0
-4.644 -0.657 -2.070
-0.676 -4.206 2.853
-2.164 2.995 3.904
Mg Cd Pt Ba
2 1 1 1
Direct
0.000 0.500 0.000
0.500 0.000 0.000
0.000 0.000 0.500
0.000 0.000 0.000
0.500 0.500 0.500
```

# 5
A plane-wave DFT calculation with GGA-PBE was carried out for crystalline Ba2MgCdPt at its relaxed geometry.

Total magnetic moment ... 0.00 Bohr magnetons per cell
Energy of formation from the pure elements ... -2.1 eV per formula unit
Space-group type ... No. 123

The structure in POSCAR format:
```
Ba2MgCdPt
1.0
-1.481 2.669 -5.336
0.851 -5.347 -2.910
-4.942 -1.205 0.769
Ba Mg Cd Pt
2 1 1 1
Direct
0.500 0.000 0.000
0.000 0.500 0.000
0.000 0.000 0.500
0.500 0.500 0.500
0.000 0.000 0.000
```

# 6
A plane-wave DFT calculation with GGA-PBE was carried out for crystalline Ba2MgCdPt at its relaxed geometry.

Total magnetic moment ... 0.00 Bohr magnetons per cell
Energy of formation from the pure elements ... -1.6 eV per formula unit
Space-group type ... No. 123

The structure in POSCAR format:
```
Ba2MgCdPt
1.0
6.141 0.000 0.000
0.000 6.141 0.000
0.000 0.000 5.319
Pt Cd Ba Mg
1 1 2 1
Direct
0.000 0.000 0.000
0.000 0.000 0.500
0.000 0.500 0.000
0.500 0.000 0.000
0.500 0.500 0.500
```

# 7
A plane-wave DFT calculation with GGA-PBE was carried out for crystalline BaMgCd2Rh at its relaxed geometry.

Total magnetic moment ... 0.00 Bohr magnetons per cell
Energy of formation from the pure elements ... -1.4 eV per formula unit
Space-group type ... No. 123

The structure in POSCAR format:
```
BaMgCd2Rh
1.0
-1.255 2.919 4.257
-1.109 -4.431 2.711
4.746 -0.234 1.559
Cd Rh Mg Ba
2 1 1 1
Direct
0.000 0.500 0.000
0.500 0.000 0.000
0.000 0.000 0.000
0.000 0.000 0.500
0.500 0.500 0.500
```

# 8
A plane-wave DFT calculation with GGA-PBE was carried out for crystalline BaMg2CdRh at its relaxed geometry.

Total magnetic moment ... 0.00 Bohr magnetons per cell
Energy of formation from the pure elements ... -1.4 eV per formula unit
Space-group type ... No. 123

The structure in POSCAR format:
```
BaMg2CdRh
1.0
-2.547 0.406 4.362
-4.002 -2.268 -2.126
1.892 -4.794 1.551
Cd Mg Rh Ba
1 2 1 1
Direct
0.000 0.000 0.500
0.000 0.500 0.000
0.500 0.000 0.000
0.000 0.000 0.000
0.500 0.500 0.500
```

# 9
A plane-wave DFT calculation with GGA-PBE was carried out for crystalline BaMg2ScCd at its relaxed geometry.

Total magnetic moment ... 0.00 Bohr magnetons per cell
Energy of formation from the pure elements ... 2.3 eV per formula unit
Space-group type ... No. 123

The structure in POSCAR format:
```
BaMg2ScCd
1.0
-2.189 4.429 2.070
-4.207 -3.468 2.974
3.277 -0.354 4.222
Sc Cd Ba Mg
1 1 1 2
Direct
0.500 0.500 0.500
0.000 0.000 0.000
0.000 0.500 0.000
0.000 0.000 0.500
0.500 0.000 0.000
```

# 10
A plane-wave DFT calculation with GGA-PBE was carried out for crystalline BaMg2CdSe at its relaxed geometry.

Formation energy without anion corrections ... -0.25 eV per atom
Total magnetic moment ... 0.00 Bohr magnetons per cell
Space-group type ... No. 123

The structure in POSCAR format:
```
BaMg2CdSe
1.0
-0.183 4.333 -2.776
-0.433 -3.456 -5.366
-5.134 0.034 0.392
Cd Se Mg Ba
1 1 2 1
Direct
0.000 0.000 0.000
0.000 0.500 0.000
0.500 0.000 0.000
0.000 0.000 0.500
0.500 0.500 0.500
```

# 11
A plane-wave DFT calculation with GGA-PBE was carried out for crystalline Ba2Mg4CdSi3 at its relaxed geometry.

Formation energy without anion corrections ... -0.26 eV per atom
Total magnetic moment ... 0.00 Bohr magnetons per cell
Space-group type ... No. 115

The structure in POSCAR format:
```
Ba2Mg4CdSi3
1.0
4.668 0.000 0.000
0.000 4.668 0.000
0.000 0.000 11.639
Mg Cd Ba Si
4 1 2 3
Direct
0.000 0.500 0.363
0.500 0.500 0.000
0.500 0.000 0.637
0.000 0.000 0.000
0.500 0.500 0.500
0.500 0.000 0.243
0.000 0.500 0.757
0.500 0.000 0.869
0.000 0.000 0.500
0.000 0.500 0.131
```

# 12
A plane-wave DFT calculation with GGA-PBE was carried out for crystalline Ba2SmMg12Cd3 at its relaxed geometry.

Total magnetic moment ... 0.00 Bohr magnetons per cell
Energy of formation from the pure elements ... 3.1 eV per formula unit
Space-group type ... No. 166

The structure in POSCAR format:
```
Ba2SmMg12Cd3
1.0
9.863 0.605 0.429
5.397 8.278 0.429
5.397 3.142 7.670
Mg Ba Cd Sm
12 2 3 1
Direct
0.783 0.130 0.783
0.217 0.217 0.870
0.829 0.829 0.455
0.130 0.783 0.783
0.217 0.870 0.217
0.455 0.829 0.829
0.545 0.171 0.171
0.783 0.783 0.130
0.870 0.217 0.217
0.171 0.171 0.545
0.829 0.455 0.829
0.171 0.545 0.171
0.416 0.416 0.416
0.584 0.584 0.584
0.000 0.000 0.500
0.500 0.000 0.000
0.000 0.500 0.000
0.000 0.000 0.000
```

# 13
A plane-wave DFT calculation with GGA-PBE was carried out for crystalline BaSmMgCd at its relaxed geometry.

Total magnetic moment ... 0.00 Bohr magnetons per cell
Energy of formation from the pure elements ... -0.4 eV per formula unit
Space-group type ... No. 216

The structure in POSCAR format:
```
BaSmMgCd
1.0
5.726 0.000 0.000
2.863 4.958 0.000
2.863 1.653 4.675
Cd Mg Ba Sm
1 1 1 1
Direct
0.750 0.750 0.750
0.250 0.250 0.250
0.000 0.000 0.000
0.500 0.500 0.500
```

# 14
A plane-wave DFT calculation with GGA-PBE was carried out for crystalline BaMgCdSn2 at its relaxed geometry.

Total magnetic moment ... 0.00 Bohr magnetons per cell
Energy of formation from the pure elements ... -2.2 eV per formula unit
Space-group type ... No. 119

The structure in POSCAR format:
```
BaMgCdSn2
1.0
-3.733 -2.589 1.950
-1.601 -1.113 -4.543
6.171 -3.199 1.299
Mg Sn Ba Cd
1 2 1 1
Direct
0.250 0.750 0.500
0.619 0.619 0.237
0.381 0.381 0.763
0.000 0.000 0.000
0.750 0.250 0.500
```

# 15
A plane-wave DFT calculation with GGA-PBE was carried out for crystalline Ba2Mg4CdSn3 at its relaxed geometry.

Total magnetic moment ... 0.00 Bohr magnetons per cell
Energy of formation from the pure elements ... -4.3 eV per formula unit
Space-group type ... No. 115

The structure in POSCAR format:
```
Ba2Mg4CdSn3
1.0
4.868 0.000 0.000
0.000 4.868 0.000
0.000 0.000 12.431
Ba Sn Mg Cd
2 3 4 1
Direct
0.000 0.500 0.753
0.500 0.000 0.247
0.000 0.000 0.500
0.000 0.500 0.136
0.500 0.000 0.864
0.500 0.500 0.000
0.000 0.500 0.366
0.000 0.000 0.000
0.500 0.000 0.634
0.500 0.500 0.500
```

# 16
A plane-wave DFT calculation with GGA-PBE was carried out for crystalline Ba2Mg3Cd12Sn at its relaxed geometry.

Total magnetic moment ... 0.00 Bohr magnetons per cell
Energy of formation from the pure elements ... -1.3 eV per formula unit
Space-group type ... No. 166

The structure in POSCAR format:
```
Ba2Mg3Cd12Sn
1.0
-3.309 12.229 2.872
-3.503 8.819 8.872
2.531 11.042 6.358
Ba Cd Mg Sn
2 12 3 1
Direct
0.358 0.358 0.358
0.642 0.642 0.642
0.896 0.896 0.397
0.104 0.603 0.104
0.104 0.104 0.603
0.397 0.896 0.896
0.896 0.397 0.896
0.411 0.833 0.411
0.411 0.411 0.833
0.603 0.104 0.104
0.833 0.411 0.411
0.589 0.589 0.167
0.167 0.589 0.589
0.589 0.167 0.589
0.000 0.500 0.000
0.000 0.000 0.500
0.500 0.000 0.000
0.000 0.000 0.000
```

# 17
A plane-wave DFT calculation with GGA-PBE was carried out for crystalline Ba2SrMg12Cd3 at its relaxed geometry.

Total magnetic moment ... 0.00 Bohr magnetons per cell
Energy of formation from the pure elements ... 3.4 eV per formula unit
Space-group type ... No. 166

The structure in POSCAR format:
```
Ba2SrMg12Cd3
1.0
11.167 1.582 1.122
6.891 8.929 1.122
6.891 4.011 8.056
Mg Cd Ba Sr
12 3 2 1
Direct
0.230 0.230 0.859
0.770 0.141 0.770
0.147 0.147 0.506
0.853 0.853 0.494
0.859 0.230 0.230
0.230 0.859 0.230
0.853 0.494 0.853
0.494 0.853 0.853
0.770 0.770 0.141
0.506 0.147 0.147
0.147 0.506 0.147
0.141 0.770 0.770
0.000 0.000 0.500
0.000 0.500 0.000
0.500 0.000 0.000
0.374 0.374 0.374
0.626 0.626 0.626
0.000 0.000 0.000
```

# 18
A plane-wave DFT calculation with GGA-PBE was carried out for crystalline Ba2SrMgCd at its relaxed geometry.

Total magnetic moment ... 0.00 Bohr magnetons per cell
Energy of formation from the pure elements ... 0.1 eV per formula unit
Space-group type ... No. 123

The structure in POSCAR format:
```
Ba2SrMgCd
1.0
-1.832 -4.498 4.652
0.622 -4.935 -4.527
5.232 -0.652 1.430
Mg Sr Cd Ba
1 1 1 2
Direct
0.000 0.000 0.500
0.500 0.500 0.500
0.000 0.000 0.000
0.000 0.500 0.000
0.500 0.000 0.000
```

# 19
A plane-wave DFT calculation with GGA-PBE was carried out for crystalline BaTbMgCd at its relaxed geometry.

Total magnetic moment ... 0.00 Bohr magnetons per cell
Energy of formation from the pure elements ... -0.3 eV per formula unit
Space-group type ... No. 216

The structure in POSCAR format:
```
BaTbMgCd
1.0
-0.440 5.031 2.612
-1.423 0.233 5.500
3.867 1.540 3.874
Mg Cd Ba Tb
1 1 1 1
Direct
0.250 0.250 0.250
0.750 0.750 0.750
0.500 0.500 0.500
0.000 0.000 0.000
```

# 20
A plane-wave DFT calculation with GGA-PBE was carried out for crystalline BaMg2CdTe4 at its relaxed geometry.

Formation energy without anion corrections ... -0.86 eV per atom
Total magnetic moment ... 0.00 Bohr magnetons per cell
Space-group type ... No. 63

The structure in POSCAR format:
```
BaMg2CdTe4
1.0
-2.530 -2.733 2.397
6.913 0.400 3.662
-5.159 12.156 8.413
Te Ba Cd Mg
8 2 2 4
Direct
0.254 0.509 0.397
0.000 0.000 0.500
0.746 0.491 0.603
0.746 0.491 0.897
0.254 0.509 0.103
0.000 0.000 0.000
0.535 0.071 0.250
0.465 0.929 0.750
0.860 0.720 0.250
0.140 0.280 0.750
0.149 0.297 0.250
0.851 0.703 0.750
0.620 0.240 0.057
0.380 0.760 0.943
0.380 0.760 0.557
0.620 0.240 0.443
```